# CsGe3Bi (GGA-PBE, optimized geometry)
data_CsGe3Bi
_cell_length_a 5.7278
_cell_length_b 5.7278
_cell_length_c 5.7278
_cell_angle_alpha 90.00
_cell_angle_beta 90.00
_cell_angle_gamma 90.00
_symmetry_space_group_name_H-M 'P 1'
_symmetry_Int_Tables_number 1
loop_
_symmetry_equiv_pos_as_xyz
'x,y,z'
loop_
_atom_site_label
_atom_site_type_symbol
_atom_site_fract_x
_atom_site_fract_y
_atom_site_fract_z
_atom_site_occupancy
Bi1 Bi 0.0000 0.0000 0.0000 1
Cs1 Cs 0.5000 0.5000 0.5000 1
Ge1 Ge 0.0000 0.0000 0.5000 1
Ge2 Ge 0.5000 0.0000 0.0000 1
Ge3 Ge 0.0000 0.5000 0.0000 1
# Calculated volume (Å³/atom): 37.58
# Space group: Pm-3m
# Formation enthalpy at 0 K (eV/atom): 0.708
# Fermi-level density of states (states/eV/cell): 5.151

=====

# NdYHo6 (GGA-PBE, optimized geometry)
data_NdYHo6
_cell_length_a 6.7029
_cell_length_b 6.5411
_cell_length_c 6.9931
_cell_angle_alpha 105.07
_cell_angle_beta 61.41
_cell_angle_gamma 90.17
_symmetry_space_group_name_H-M 'P 1'
_symmetry_Int_Tables_number 1
loop_
_symmetry_equiv_pos_as_xyz
'x,y,z'
loop_
_atom_site_label
_atom_site_type_symbol
_atom_site_fract_x
_atom_site_fract_y
_atom_site_fract_z
_atom_site_occupancy
Ho1 Ho 0.4270 0.2300 0.4783 1
Y1 Y 0.0000 0.5000 0.0000 1
Ho2 Ho 0.9048 0.2714 0.5257 1
Nd1 Nd 0.0000 0.0000 0.0000 1
Ho3 Ho 0.5421 0.7480 0.9985 1
Ho4 Ho 0.4579 0.2520 0.0015 1
Ho5 Ho 0.5730 0.7700 0.5217 1
Ho6 Ho 0.0952 0.7286 0.4743 1
# Calculated volume (Å³/atom): 32.16
# Space group: P-1
# Formation enthalpy at 0 K (eV/atom): 0.207
# Fermi-level density of states (states/eV/cell): 13.407

=====

# NbTcO2 (GGA-PBE, optimized geometry)
data_NbTcO2
_cell_length_a 3.9458
_cell_length_b 3.9458
_cell_length_c 3.9458
_cell_angle_alpha 60.00
_cell_angle_beta 60.00
_cell_angle_gamma 60.00
_symmetry_space_group_name_H-M 'P 1'
_symmetry_Int_Tables_number 1
loop_
_symmetry_equiv_pos_as_xyz
'x,y,z'
loop_
_atom_site_label
_atom_site_type_symbol
_atom_site_fract_x
_atom_site_fract_y
_atom_site_fract_z
_atom_site_occupancy
Nb1 Nb 0.0000 0.0000 0.0000 1
Tc1 Tc 0.5000 0.5000 0.5000 1
O1 O 0.2500 0.2500 0.2500 1
O2 O 0.7500 0.7500 0.7500 1
# Calculated volume (Å³/atom): 10.86
# E_form (uncorrected) (eV per atom): -0.435
# Space group: Fm-3m
# Fermi-level density of states (states/eV/cell): 3.403

=====

# Ca3Bi4Pd4 (GGA-PBE, optimized geometry)
data_Ca3Bi4Pd4
_cell_length_a 4.8716
_cell_length_b 3.9942
_cell_length_c 14.6075
_cell_angle_alpha 97.86
_cell_angle_beta 99.60
_cell_angle_gamma 90.00
_symmetry_space_group_name_H-M 'P 1'
_symmetry_Int_Tables_number 1
loop_
_symmetry_equiv_pos_as_xyz
'x,y,z'
loop_
_atom_site_label
_atom_site_type_symbol
_atom_site_fract_x
_atom_site_fract_y
_atom_site_fract_z
_atom_site_occupancy
Bi1 Bi 0.5545 0.5545 0.1090 1
Ca1 Ca 0.6508 0.1508 0.3015 1
Ca2 Ca 0.3492 0.8492 0.6985 1
Pd1 Pd 0.7398 0.7398 0.4796 1
Ca3 Ca 0.0000 0.0000 0.0000 1
Pd2 Pd 0.9055 0.4055 0.8110 1
Bi2 Bi 0.1913 0.6913 0.3826 1
Pd3 Pd 0.0945 0.5945 0.1890 1
Pd4 Pd 0.2602 0.2602 0.5204 1
Bi3 Bi 0.8087 0.3087 0.6174 1
Bi4 Bi 0.4455 0.4455 0.8910 1
# Calculated volume (Å³/atom): 25.23
# Space group: Immm
# Formation enthalpy at 0 K (eV/atom): -0.565
# Fermi-level density of states (states/eV/cell): 3.143

=====

Number 1: total energy -15.05 eV per cell. Number 2: total energy -37.04 eV per cell. Number 3: total energy -32.09 eV per cell. Number 4: total energy -48.51 eV per cell.